1.
# ScSbRh2

A crystal of ScSbRh2 relaxed with PBEsol (meta-GGA SCAN, the Alexandria database).

abc: 4.5442 4.5442 4.5442
angles: 60.00 60.00 60.00
Closest atoms and distances in Å follow each position.
Fractional positions:
Rh: 0.7500 0.7500 0.7500  4 Sb 2.78, 4 Rh 2.78
Rh: 0.0000 0.0000 0.0000  4 Sc 2.78, 4 Rh 2.78
Sc: 0.2500 0.2500 0.2500  4 Sb 2.78, 4 Rh 2.78
Sb: 0.5000 0.5000 0.5000  4 Sc 2.78, 4 Rh 2.78

Values from the calculation:
* uncorrected formation energy: -1.79 eV per formula unit

---

2.
# ZnBBr3

A crystal of ZnBBr3 relaxed with PBEsol (meta-GGA SCAN, the Alexandria database).

abc: 4.6354 4.6354 4.6354
angles: 90.00 90.00 90.00
Closest atoms and distances in Å follow each position.
Fractional positions:
Br: 0.5000 0.0000 0.0000  2 B 2.32
Zn: 0.5000 0.5000 0.5000  12 Br 3.28
B: 0.0000 0.0000 0.0000  6 Br 2.32
Br: 0.0000 0.5000 0.0000  2 B 2.32
Br: 0.0000 0.0000 0.5000  2 B 2.32

Values from the calculation:
* uncorrected formation energy: 2.39 eV per formula unit

---

3.
# Tl3HgN

A crystal of Tl3HgN relaxed with PBEsol (meta-GGA SCAN, the Alexandria database).

abc: 4.9471 4.9471 4.9471
angles: 90.00 90.00 90.00
Closest atoms and distances in Å follow each position.
Fractional positions:
N: 0.0000 0.0000 0.0000  6 Tl 2.47
Tl: 0.0000 0.5000 0.0000  2 N 2.47
Tl: 0.5000 0.0000 0.0000  2 N 2.47
Tl: 0.0000 0.0000 0.5000  2 N 2.47
Hg: 0.5000 0.5000 0.5000  12 Tl 3.50

Values from the calculation:
* uncorrected formation energy: 3.07 eV per formula unit

---

4.
# GaAgSe2

A crystal of GaAgSe2 relaxed with PBEsol (meta-GGA SCAN, the Alexandria database).

abc: 3.9585 3.9585 6.1820
angles: 90.00 90.00 90.00
Closest atoms and distances in Å follow each position.
Fractional positions:
Ag: 0.0000 0.0000 0.0000  4 Se 2.59
Se: 0.5000 0.0000 0.7308  2 Ga 2.44, 2 Ag 2.59
Ga: 0.5000 0.5000 0.5000  4 Se 2.44
Se: 0.0000 0.5000 0.2692  2 Ga 2.44, 2 Ag 2.59

Values from the calculation:
* uncorrected formation energy: -1.81 eV per formula unit

---

5.
# CrTcW2

A crystal of CrTcW2 relaxed with PBEsol (meta-GGA SCAN, the Alexandria database).

abc: 3.0557 4.3639 5.0377
angles: 115.67 107.66 90.00
Closest atoms and distances in Å follow each position.
Fractional positions:
W: 0.7552 0.7552 0.5104  2 Cr 2.59, 2 Tc 2.66, 4 W 2.67
W: 0.2448 0.2448 0.4896  2 Cr 2.59, 2 Tc 2.66, 4 W 2.67
Cr: 0.5000 0.0000 0.0000  4 W 2.59, 4 Tc 2.66
Tc: 0.0000 0.5000 0.0000  4 Cr 2.66, 4 W 2.66

Values from the calculation:
* formation energy: 0.20 eV/f.u.

---

6.
# CrAs2PdBr

A crystal of CrAs2PdBr relaxed with PBEsol (meta-GGA SCAN, the Alexandria database).

abc: 4.7602 4.7602 5.1481
angles: 90.00 90.00 90.00
Closest atoms and distances in Å follow each position.
Fractional positions:
Pd: 0.0000 0.0000 0.0000  4 As 2.38, 2 Br 2.57
Cr: 0.5000 0.5000 0.5000  4 Br 3.37, 8 As 3.51
As: 0.0000 0.5000 0.0000  2 Pd 2.38
Br: 0.0000 0.0000 0.5000  2 Pd 2.57
As: 0.5000 0.0000 0.0000  2 Pd 2.38

Values from the calculation:
* uncorrected formation energy: 2.49 eV per formula unit

---

Number 1: M_tot 0.000 μB per atom. Number 2: M_tot 0.000 μB per atom. Number 3: M_tot 0.000 μB per atom. Number 4: M_tot 0.000 μB per atom. Number 5: M_tot 0.001 μB per atom. Number 6: M_tot 0.695 μB per atom.